The following is a DFT calculation (PBE) of crystalline NaCu2N at its relaxed geometry.

extended XYZ file:
```
8
Lattice="-1.6839 -4.6456 2.0333 2.1439 1.2894 4.7216 -4.0848 0.4848 4.7459" Properties=species:S:1:pos:R:3 pbc="T T T"
Na -2.7694 -2.9195 5.0783
Na 0.0000 0.0000 0.0000
Cu -3.1964 -2.8950 8.2912
Cu -0.3122 -0.8133 4.8992
Cu -2.3559 -0.5731 7.2712
Cu -1.3853 -1.4614 2.5399
N -0.8555 0.0481 6.4224
N 0.2300 -1.6781 3.3774
```

Results
- Formation energy (no corrections): 108 meV/atom
- Theoretical density: 3.80 g cm⁻³
- Total DFT energy (no corrections): -4.352 eV/atom
- M_tot: 0.0 μB per formula unit


The following is a DFT calculation (PBE) of crystalline Li3Tb2Hg2 at its relaxed geometry.

extended XYZ file:
```
7
Lattice="-0.8025 -3.1086 -3.4360 3.6067 -1.8358 4.0364 -6.4344 -0.8622 2.2828" Properties=species:S:1:pos:R:3 pbc="T T T"
Li -0.4012 -1.5543 -1.7180
Li -1.2069 -3.0850 3.0729
Li -2.4233 -2.7216 -0.1896
Tb 0.4454 -4.1495 0.4322
Tb -4.0756 -1.6571 2.4510
Hg -0.5048 -1.2255 1.2267
Hg -3.1254 -4.5811 1.6566
```

Results
- Formation enthalpy at 0 K: -0.272 eV per atom
- Theoretical density: 7.77 g cm⁻³
- Total DFT energy (no corrections): -2.502 eV/atom
- M_tot: 0.0 μB per formula unit


The following is a DFT calculation (PBE) of crystalline In2FeSb at its relaxed geometry.

extended XYZ file:
```
4
Lattice="6.2933 0.0037 0.0064 -3.6063 5.1575 0.0064 0.9974 1.9157 2.8449" Properties=species:S:1:pos:R:3 pbc="T T T"
Fe -1.3045 3.5366 1.4256
In 1.3435 2.5806 0.0064
In 0.0000 0.0000 0.0000
Sb 3.6453 0.9597 1.4256
```

Results
- Formation energy (no corrections): 415 meV/atom
- Theoretical density: 7.33 g cm⁻³
- Total DFT energy (no corrections): -4.101 eV/atom
- M_tot: 3.0 μB per formula unit


The following is a DFT calculation (PBE) of crystalline Tm5In2Ag at its relaxed geometry.

extended XYZ file:
```
8
Lattice="6.7954 0.0005 0.0003 0.0007 6.7954 0.0001 -3.3977 -3.3977 4.5064" Properties=species:S:1:pos:R:3 pbc="T T T"
Tm -1.6978 -1.6979 4.2561
Tm 1.6980 -1.6974 4.2561
Tm 1.6984 1.6983 4.2563
Tm 3.3981 3.3980 2.0055
Tm -1.6973 1.6979 4.2560
In 0.0006 3.3980 2.0028
In 3.3980 0.0005 2.0029
Ag 0.0001 0.0001 1.9945
```

Results
- Formation enthalpy at 0 K: -0.248 eV per atom
- Theoretical density: 9.43 g cm⁻³
- Total DFT energy (no corrections): -4.084 eV/atom
- M_tot: 0.0 μB per formula unit


The following is a DFT calculation (PBE) of crystalline AuCl2 at its relaxed geometry.

extended XYZ file:
```
12
Lattice="5.0100 -0.0001 0.0000 -2.5051 4.3388 0.0000 0.0000 0.0000 15.2383" Properties=species:S:1:pos:R:3 pbc="T T T"
Au 0.0000 2.8925 7.6358
Au 2.5050 1.4462 7.6026
Au 0.0000 2.8925 15.2218
Au 2.5050 1.4462 0.0166
Cl -1.2525 3.6156 11.4288
Cl 1.2539 3.6156 11.4288
Cl 3.7575 0.7231 3.8096
Cl 1.2511 0.7231 3.8096
Cl 0.0000 0.0000 0.0000
Cl 0.0007 1.4450 11.4288
Cl 0.0000 0.0000 7.6192
Cl 2.5042 2.8937 3.8096
```

Results
- Formation energy (no corrections): 425 meV/atom
- Theoretical density: 5.37 g cm⁻³
- Total DFT energy (no corrections): -1.899 eV/atom
- M_tot: 0.0 μB per formula unit


The following is a DFT calculation (PBE) of crystalline MgIr2Ru at its relaxed geometry.

extended XYZ file:
```
4
Lattice="-2.5293 -0.8415 3.7260 3.7992 -1.0173 2.3493 0.2454 2.7197 0.7808" Properties=species:S:1:pos:R:3 pbc="T T T"
Ir 0.6350 -0.9294 3.0376
Ir 0.0000 0.0000 0.0000
Mg -1.1419 0.9391 2.2534
Ru 2.0223 0.8512 1.5651
```

Results
- Formation enthalpy at 0 K: 0.051 eV per atom
- Theoretical density: 14.20 g cm⁻³
- Total DFT energy (no corrections): -7.097 eV/atom
- M_tot: 1.4 μB per formula unit


The following is a DFT calculation (PBE) of crystalline PdPtPb at its relaxed geometry.

extended XYZ file:
```
6
Lattice="4.0188 0.0000 0.0000 -2.0094 4.3053 -0.4838 0.0000 -0.9320 7.3347" Properties=species:S:1:pos:R:3 pbc="T T T"
Pd 0.0000 -0.2196 2.2404
Pd 2.0094 3.5929 4.6105
Pt 2.0094 0.8597 3.9796
Pt 0.0000 2.5136 2.8713
Pb 0.0000 1.9915 5.8132
Pb 2.0094 1.3818 1.0378
```

Results
- Formation enthalpy at 0 K: -0.127 eV per atom
- Theoretical density: 13.51 g cm⁻³
- Total DFT energy (no corrections): -5.107 eV/atom
- M_tot: 0.0 μB per formula unit


The following is a DFT calculation (PBE) of crystalline Th2Sc3Al4 at its relaxed geometry.

extended XYZ file:
```
18
Lattice="-2.3141 0.7378 -5.9014 -5.0790 -6.4786 1.1816 -4.5343 4.6135 5.8054" Properties=species:S:1:pos:R:3 pbc="T T T"
Al -5.9066 -1.3474 -1.3029
Al -8.3670 -0.5469 4.9378
Al -3.5604 -0.5803 -3.8523
Al -5.0212 3.3399 -1.0640
Al -9.5240 -0.1780 1.9871
Al -2.4033 -0.9493 -0.9015
Al -6.9062 -4.4672 2.1496
Al -6.0207 0.2201 2.3884
Sc -7.5486 -1.9074 0.9962
Sc -6.3915 -2.2763 3.9470
Sc 0.0000 0.0000 0.0000
Sc -4.3788 0.7801 0.0893
Sc -5.5358 1.1490 -2.8614
Sc -3.6965 -2.8704 -2.3599
Th -4.2228 -2.7499 1.3120
Th -7.7046 1.6226 -0.2265
Th -4.9231 3.3257 2.3463
Th -7.0042 -4.4530 -1.2608
```

Results
- Formation enthalpy at 0 K: -0.235 eV per atom
- Theoretical density: 5.47 g cm⁻³
- Total DFT energy (no corrections): -5.657 eV/atom
- M_tot: 0.0 μB per formula unit


The following is a DFT calculation (PBE) of crystalline CeSm2Y8 at its relaxed geometry.

extended XYZ file:
```
11
Lattice="4.9014 0.0000 -1.3053 -0.5246 7.7457 -1.9698 -0.0981 -0.0702 9.4864" Properties=species:S:1:pos:R:3 pbc="T T T"
Y 1.4557 0.6699 5.4662
Y 2.6378 3.4965 0.0500
Y -0.1726 5.6561 -0.6483
Y 0.5429 1.3748 2.0384
Y 4.4513 2.0195 6.8596
Y 2.8229 7.0056 0.7451
Y 1.6409 4.1791 6.1613
Y 3.7358 6.3007 4.1729
Sm 3.5378 2.7817 3.4295
Sm 0.7408 4.8939 2.7818
Ce 2.4507 0.0000 -0.6527
```

Results
- Formation enthalpy at 0 K: 0.043 eV per atom
- Theoretical density: 5.34 g cm⁻³
- Total DFT energy (no corrections): -6.056 eV/atom
- M_tot: 1.2 μB per formula unit


The following is a DFT calculation (PBE) of crystalline Na2PaGeSe5 at its relaxed geometry.

extended XYZ file:
```
18
Lattice="-3.8962 0.6549 -1.7875 -1.8876 -1.1374 8.9578 1.3253 13.2341 1.9597" Properties=species:S:1:pos:R:3 pbc="T T T"
Pa -3.3808 6.9491 4.6549
Pa -1.6490 0.0989 3.6305
Ge -2.7538 4.9611 7.8200
Ge -1.2333 12.4981 2.0071
Se -0.9951 10.5127 0.7604
Se -4.6485 6.5241 7.2624
Se -1.7383 4.7152 5.5165
Se -3.4086 2.7871 8.4507
Se -1.2985 8.3486 5.8890
Se -2.3429 11.8035 4.1712
Se -2.8065 -0.5332 5.9218
Se -3.3837 2.1700 2.9103
Se -2.3026 6.7891 2.2462
Se -0.4134 0.2024 0.9753
Na 0.1269 8.5869 2.8692
Na -3.9176 10.8603 7.2578
Na -0.2887 4.4106 2.2452
Na -4.8219 1.8036 5.9111
```

Results
- Formation energy (no corrections): -950 meV/atom
- Theoretical density: 4.73 g cm⁻³
- Total DFT energy (no corrections): -4.748 eV/atom
- M_tot: 0.3 μB per formula unit


The following is a DFT calculation (PBE) of crystalline SiPS2 at its relaxed geometry.

extended XYZ file:
```
4
Lattice="-5.8419 1.4534 4.8329 -3.5951 -0.0277 6.8317 -3.3382 3.2460 6.1577" Properties=species:S:1:pos:R:3 pbc="T T T"
Si -6.3876 2.3359 8.9112
S -11.4130 4.1736 15.9221
S -1.3621 0.4981 1.9003
P 0.0000 0.0000 0.0000
```

Results
- Formation energy (no corrections): 140 meV/atom
- Theoretical density: 2.81 g cm⁻³
- Total DFT energy (no corrections): -4.632 eV/atom
- M_tot: 0.0 μB per formula unit


The following is a DFT calculation (PBE) of crystalline CaPm2Sm2 at its relaxed geometry.

extended XYZ file:
```
5
Lattice="-1.0607 1.9551 -2.9194 -1.0350 -1.7116 -3.0773 -15.0005 -0.2337 2.9864" Properties=species:S:1:pos:R:3 pbc="T T T"
Sm -10.6569 0.0550 -3.0125
Sm -6.4393 -0.0452 0.0022
Pm -12.6793 -0.0860 -0.0651
Pm -4.4168 0.0958 -2.9452
Ca 0.0000 0.0000 0.0000
```

Results
- Formation enthalpy at 0 K: 0.033 eV per atom
- Theoretical density: 5.93 g cm⁻³
- Total DFT energy (no corrections): -4.155 eV/atom
- M_tot: 0.0 μB per formula unit


These records have D(E_F) values of 0.000; 0.861; 1.129; 1.189; 0.507; 1.154; 0.737; 0.836; 1.730; 0.279; 0.352; 1.389 states/eV/atom, in the order they appear.